# TbBe, optimized geometry, DFT PBE-GGA
# Total magnetic moment in μB per formula unit: 0.00
# Energy in eV/atom: -4.169
# D(E_F) in states/eV/f.u.: 0.748
# E_form in eV/f.u.: 0.02
data_TbBe
_cell_length_a 4.752
_cell_length_b 8.211
_cell_length_c 4.060
_cell_angle_alpha 90.00
_cell_angle_beta 90.00
_cell_angle_gamma 90.00
_space_group_name_H-M_alt 'C m c m'
_space_group_IT_number 63
_space_group_name_Hall '-C 2c 2'
loop_
_atom_site_label
_atom_site_type_symbol
_atom_site_fract_x
_atom_site_fract_y
_atom_site_fract_z
Tb1 Tb 0.000 0.167 0.250
Be1 Be 0.000 0.499 0.750